# 1
Compound: AlNiW
Source: the Alexandria database
Functional: PBE
Structure: relaxed

a = 4.1555 Å, b = 4.1555 Å, c = 4.1555 Å
α = 60.00°, β = 60.00°, γ = 60.00°
Element x y z (fractional)
Ni  0.5000  0.5000  0.5000
Al  0.0000  0.0000  0.0000
W  0.7500  0.7500  0.7500

Output
Energy above the lowest structure with this stoichiometry in eV per atom: 0.937
D(E_F) in states/eV/cell: 2.98
Volume in Å³ per cell: 51
DFT formation energy in eV per atom: 0.723

***

# 2
Compound: ZnTe2Ir
Source: the Alexandria database
Functional: PBE
Structure: relaxed

a = 6.7060 Å, b = 6.7060 Å, c = 6.7060 Å
α = 153.45°, β = 137.34°, γ = 50.95°
Element x y z (fractional)
Ir  0.7574  0.2574  0.5000
Te  0.9422  0.9422  0.0000
Te  0.2263  0.7263  0.5000
Zn  0.5740  0.5740  0.0000

Output
E_form (uncorrected) in eV per atom: 0.205
D(E_F) in states/eV/cell: 2.23
Volume in Å³ per cell: 91

***

# 3
Compound: ThFePH
Source: the Alexandria database
Functional: PBE
Structure: relaxed

a = 3.8427 Å, b = 3.8427 Å, c = 7.8300 Å
α = 90.00°, β = 90.00°, γ = 90.00°
Element x y z (fractional)
Th  0.5000  0.0000  0.6932
Th  0.0000  0.5000  0.3068
Fe  0.5000  0.5000  0.0000
Fe  0.0000  0.0000  0.0000
P  0.0000  0.5000  0.8520
P  0.5000  0.0000  0.1480
H  0.0000  0.0000  0.5000
H  0.5000  0.5000  0.5000

Output
D(E_F) in states/eV/cell: 1.22
E_tot in Ry/atom: -0.52092
Volume in Å³ per cell: 116

***

# 4
Compound: GdHoPa
Source: the Alexandria database
Functional: PBE
Structure: relaxed

a = 3.4217 Å, b = 3.4217 Å, c = 8.5350 Å
α = 90.00°, β = 90.00°, γ = 120.00°
Site moments in Bohr magnetons follow the coordinates.
Element x y z (fractional)
Gd  0.3333  0.6667  0.6812  7.13
Pa  0.0000  0.0000  0.0004  -0.11
Ho  0.6667  0.3333  0.3184  -0.01

Output
Energy above the lowest structure with this stoichiometry in eV per atom: 0.000
D(E_F) in states/eV/cell: 4.69
Volume in Å³ per cell: 87
DFT formation energy in eV per atom: 0.121

***

# 5
Compound: CdGe2Cl
Source: the Alexandria database
Functional: PBE
Structure: relaxed

a = 4.9307 Å, b = 4.9307 Å, c = 4.9307 Å
α = 60.00°, β = 60.00°, γ = 60.00°
Element x y z (fractional)
Ge  0.2500  0.2500  0.2500
Ge  0.7500  0.7500  0.7500
Cl  0.0000  0.0000  0.0000
Cd  0.5000  0.5000  0.5000

Output
E_form (uncorrected) in eV per atom: 0.276
Energy above the lowest structure with this stoichiometry in eV per atom: 0.219
D(E_F) in states/eV/cell: 3.92
Volume in Å³ per cell: 85

***

# 6
Compound: CeSbPbO6
Source: the Alexandria database
Functional: PBE
Structure: relaxed

a = 5.7310 Å, b = 5.7310 Å, c = 9.6329 Å
α = 90.00°, β = 90.00°, γ = 120.00°
Element x y z (fractional)
Ce  0.3333  0.6667  0.2500
Ce  0.6667  0.3333  0.7500
Sb  0.6667  0.3333  0.2500
Sb  0.3333  0.6667  0.7500
Pb  0.0000  0.0000  0.0000
Pb  0.0000  0.0000  0.5000
O  0.6587  0.6262  0.1365
O  0.9675  0.3413  0.1365
O  0.3413  0.9675  0.6365
O  0.0325  0.6587  0.8635
O  0.3738  0.3413  0.3635
O  0.9675  0.6262  0.3635
O  0.6262  0.9675  0.8635
O  0.6587  0.0325  0.3635
O  0.0325  0.3738  0.6365
O  0.3738  0.0325  0.1365
O  0.6262  0.6587  0.6365
O  0.3413  0.3738  0.8635

Output
E_form (uncorrected) in eV per atom: -1.823
D(E_F) in states/eV/cell: 9.07
Volume in Å³ per cell: 274

***

# 7
Compound: RbLa2MgSb
Source: the Alexandria database
Functional: PBE
Structure: relaxed

a = 6.2375 Å, b = 5.6332 Å, c = 6.2375 Å
α = 90.00°, β = 90.00°, γ = 90.00°
Element x y z (fractional)
Sb  0.0000  0.0000  0.0000
Mg  0.0000  0.5000  0.0000
Rb  0.5000  0.5000  0.5000
La  0.0000  0.0000  0.5000
La  0.5000  0.0000  0.0000

Output
E_form (uncorrected) in eV per atom: 0.055
D(E_F) in states/eV/cell: 7.30
Volume in Å³ per cell: 219

***

# 8
Compound: Li2Ni8Sn3
Source: the Alexandria database
Functional: PBE
Structure: relaxed

a = 4.7953 Å, b = 4.7953 Å, c = 9.6067 Å
α = 75.55°, β = 75.55°, γ = 60.00°
Element x y z (fractional)
Li  0.6397  0.6397  0.0809
Li  0.3603  0.3603  0.9191
Ni  0.7236  0.7236  0.8291
Ni  0.2764  0.2764  0.1709
Ni  0.2320  0.7365  0.2950
Ni  0.7365  0.2320  0.2950
Ni  0.7365  0.7365  0.2950
Ni  0.2635  0.7680  0.7050
Ni  0.7680  0.2635  0.7050
Ni  0.2635  0.2635  0.7050
Sn  0.0000  0.0000  0.0000
Sn  0.8133  0.8133  0.5600
Sn  0.1867  0.1867  0.4400

Output
D(E_F) in states/eV/cell: 14.23
Volume in Å³ per cell: 183
DFT formation energy in eV per atom: 0.050